No. 1
A plane-wave DFT calculation with PBE-GGA was carried out for a geometry-optimized FeOsPt2 structure.

The value obtained for the distance to the lowest polymorph of the same formula is 0.10 eV per formula unit. The formation enthalpy at 0 K comes out at -0.0032 eV per atom. As for the space group: P4mm, No. 99. The value obtained for the raw total energy is -7.9468 eV/atom.

Cell: 2.726 2.726 7.671 Å, 90.00 90.00 90.00°
Fractional positions:
Fe1 0.000 0.000 0.000
Os1 0.500 0.500 0.218
Pt1 0.000 0.000 0.480
Pt2 0.500 0.500 0.759



No. 2
A plane-wave DFT calculation with PBE-GGA was carried out for a geometry-optimized UCrWC3 structure.

The formation enthalpy at 0 K comes out at -0.0039 eV per atom. As for the space group: P2_1/m, No. 11. The value obtained for the raw total energy is -10.2599 eV/atom.

Cell: 6.641 3.048 7.608 Å, 90.00 101.49 90.00°
Fractional positions:
U1 0.175 0.250 0.200
U2 0.825 0.750 0.800
Cr1 0.128 0.250 0.599
Cr2 0.872 0.750 0.401
W1 0.347 0.750 0.878
W2 0.653 0.250 0.122
C1 0.116 0.250 0.867
C2 0.182 0.750 0.459
C3 0.436 0.750 0.165
C4 0.564 0.250 0.835
C5 0.818 0.250 0.541
C6 0.884 0.750 0.133